Computed, not measured: a relaxed structure of Rb3NaF3 at the PBE level of DFT.

a b c (Å): 9.131 15.811 5.731
angles (deg): 90.00 90.00 90.00
Space group Cmcm (No. 63)
Inequivalent atoms, fractional coordinates:
Rb: 0.000 0.166 0.250 [4 per cell]
Rb: 0.250 0.083 0.750 [8 per cell]
Na: 0.000 0.333 0.750 [4 per cell]
F: 0.000 0.188 0.750 [4 per cell]
F: 0.216 0.406 0.750 [8 per cell]

Raw formation energy   -2169 meV per atom

---

Computed, not measured: a relaxed structure of TbNd3Ho2Te6 at the PBE level of DFT.

a b c (Å): 19.389 4.375 8.951
angles (deg): 90.00 104.70 90.00
Space group C2/m (No. 12)
Inequivalent atoms, fractional coordinates:
Tb: 0.000 0.000 0.000 [2 per cell]
Nd: 0.000 0.000 0.500 [2 per cell]
Nd: 0.165 0.500 0.833 [4 per cell]
Ho: 0.166 0.500 0.332 [4 per cell]
Te: 0.003 0.500 0.245 [4 per cell]
Te: 0.165 0.000 0.092 [4 per cell]
Te: 0.170 0.000 0.576 [4 per cell]

Raw formation energy   -1350 meV per atom

---

Computed, not measured: a relaxed structure of ScInAg2 at the PBE level of DFT.

a b c (Å): 3.466 3.466 6.716
angles (deg): 90.00 90.00 90.00
Space group P4mm (No. 99)
Inequivalent atoms, fractional coordinates:
Sc: 0.000 0.000 0.000 [1 per cell]
In: 0.500 0.500 0.721 [1 per cell]
Ag: 0.000 0.000 0.475 [1 per cell]
Ag: 0.500 0.500 0.241 [1 per cell]

Formation energy   -0.175 eV/atom

---

Computed, not measured: a relaxed structure of CuAgSb2Te at the PBE level of DFT.

a b c (Å): 5.305 5.305 5.422
angles (deg): 90.00 90.00 90.00
Space group P4/mmm (No. 123)
Inequivalent atoms, fractional coordinates:
Cu: 0.000 0.000 0.000 [1 per cell]
Ag: 0.500 0.500 0.500 [1 per cell]
Sb: 0.000 0.500 0.500 [2 per cell]
Te: 0.500 0.500 0.000 [1 per cell]

Raw formation energy   934 meV per atom
ΔE to the lowest computed polymorph   407 meV/atom

---

Computed, not measured: a relaxed structure of ReCOF2 at the PBE level of DFT.

a b c (Å): 4.110 4.110 3.768
angles (deg): 90.00 90.00 90.00
Space group P4/mmm (No. 123)
Inequivalent atoms, fractional coordinates:
Re: 0.000 0.000 0.000 [1 per cell]
C: 0.500 0.500 0.500 [1 per cell]
O: 0.000 0.000 0.500 [1 per cell]
F: 0.000 0.500 0.000 [2 per cell]

Raw formation energy   328 meV per atom
ΔE to the lowest computed polymorph   0 meV/atom

---

Computed, not measured: a relaxed structure of SrPa2MoN4 at the PBE level of DFT.

a b c (Å): 3.455 12.224 11.728
angles (deg): 90.00 90.00 90.00
Space group Cmcm (No. 63)
Inequivalent atoms, fractional coordinates:
Sr: 0.000 0.116 0.250 [4 per cell]
Pa: 0.000 0.368 0.048 [8 per cell]
Mo: 0.000 0.148 0.750 [4 per cell]
N: 0.000 0.000 0.000 [4 per cell]
N: 0.000 0.264 0.612 [8 per cell]
N: 0.000 0.446 0.250 [4 per cell]

Raw formation energy   -1097 meV per atom